[1]
# BiH2I4, optimized geometry, DFT PBE
# Total energy in eV for the cell shown: -17.21
data_BiH2I4
_chemical_formula_sum 'Bi1 H2 I4'
_symmetry_space_group_name_H-M 'P -1'
_symmetry_Int_Tables_number 2
_symmetry_space_group_name_Hall '-P 1'
_cell_length_a 5.189
_cell_length_b 6.687
_cell_length_c 8.643
_cell_angle_alpha 75.98
_cell_angle_beta 75.04
_cell_angle_gamma 88.22
loop_
_atom_site_label
_atom_site_fract_x
_atom_site_fract_y
_atom_site_fract_z
Bi1 0.000 0.000 0.000
H1 0.290 0.561 0.771
I1 0.127 0.795 0.701
I2 0.495 0.292 0.831

[2]
# Bi2HI, optimized geometry, DFT PBE
# Energy relative to the lowest polymorph listed for this composition in kJ/mol of formula units: 0
data_Bi2HI
_chemical_formula_sum 'Bi8 H4 I4'
_symmetry_space_group_name_H-M 'I -4 2 d'
_symmetry_Int_Tables_number 122
_symmetry_space_group_name_Hall 'I -4 2bw'
_cell_length_a 6.610
_cell_length_b 6.610
_cell_length_c 10.732
_cell_angle_alpha 90.00
_cell_angle_beta 90.00
_cell_angle_gamma 90.00
loop_
_atom_site_label
_atom_site_fract_x
_atom_site_fract_y
_atom_site_fract_z
Bi1 0.098 0.250 0.125
H1 0.000 0.000 0.000
I1 0.000 0.000 0.500

[3]
# BiHI2, optimized geometry, DFT PBE
# Energy relative to the lowest polymorph listed for this composition in kJ/mol of formula units: 0
data_BiHI2
_chemical_formula_sum 'Bi4 H4 I8'
_symmetry_space_group_name_H-M 'I -4 2 d'
_symmetry_Int_Tables_number 122
_symmetry_space_group_name_Hall 'I -4 2bw'
_cell_length_a 7.543
_cell_length_b 7.543
_cell_length_c 8.264
_cell_angle_alpha 90.00
_cell_angle_beta 90.00
_cell_angle_gamma 90.00
loop_
_atom_site_label
_atom_site_fract_x
_atom_site_fract_y
_atom_site_fract_z
Bi1 0.000 0.000 0.000
H1 0.000 0.000 0.500
I1 0.195 0.750 0.625

[4]
# BiHI3, optimized geometry, DFT PBE
# Energy relative to the lowest polymorph listed for this composition in kJ/mol of formula units: 0
data_BiHI3
_chemical_formula_sum 'Bi4 H4 I12'
_symmetry_space_group_name_H-M 'C 1 2/m 1'
_symmetry_Int_Tables_number 12
_symmetry_space_group_name_Hall '-C 2y'
_cell_length_a 12.571
_cell_length_b 9.351
_cell_length_c 9.373
_cell_angle_alpha 90.00
_cell_angle_beta 131.43
_cell_angle_gamma 90.00
loop_
_atom_site_label
_atom_site_fract_x
_atom_site_fract_y
_atom_site_fract_z
Bi1 0.177 0.000 0.404
H1 0.144 0.000 0.567
I1 0.040 0.320 0.277
I2 0.148 0.000 0.928

[5]
# Bi3HI, optimized geometry, DFT PBE
# Energy relative to the lowest polymorph listed for this composition in kJ/mol of formula units: 442
data_Bi3HI
_chemical_formula_sum 'Bi3 H1 I1'
_symmetry_space_group_name_H-M 'P m -3 m'
_symmetry_Int_Tables_number 221
_symmetry_space_group_name_Hall '-P 4 2 3'
_cell_length_a 6.047
_cell_length_b 6.047
_cell_length_c 6.047
_cell_angle_alpha 90.00
_cell_angle_beta 90.00
_cell_angle_gamma 90.00
loop_
_atom_site_label
_atom_site_fract_x
_atom_site_fract_y
_atom_site_fract_z
Bi1 0.000 0.000 0.500
H1 0.500 0.500 0.500
I1 0.000 0.000 0.000

[6]
# BiH2I3, optimized geometry, DFT PBE
# Total energy in eV for the cell shown: -31.91
data_BiH2I3
_chemical_formula_sum 'Bi2 H4 I6'
_symmetry_space_group_name_H-M 'P -1'
_symmetry_Int_Tables_number 2
_symmetry_space_group_name_Hall '-P 1'
_cell_length_a 5.204
_cell_length_b 8.805
_cell_length_c 9.703
_cell_angle_alpha 93.39
_cell_angle_beta 105.45
_cell_angle_gamma 93.75
loop_
_atom_site_label
_atom_site_fract_x
_atom_site_fract_y
_atom_site_fract_z
Bi1 0.049 0.252 0.014
H1 0.284 0.636 0.406
H2 0.296 0.766 0.099
I1 0.144 0.990 0.807
I2 0.151 0.496 0.806
I3 0.477 0.242 0.492

[7]
# BiH3I, optimized geometry, DFT PBE
# Energy relative to the lowest polymorph listed for this composition in kJ/mol of formula units: 0
data_BiH3I
_chemical_formula_sum 'Bi1 H3 I1'
_symmetry_space_group_name_H-M 'P m -3 m'
_symmetry_Int_Tables_number 221
_symmetry_space_group_name_Hall '-P 4 2 3'
_cell_length_a 4.275
_cell_length_b 4.275
_cell_length_c 4.275
_cell_angle_alpha 90.00
_cell_angle_beta 90.00
_cell_angle_gamma 90.00
loop_
_atom_site_label
_atom_site_fract_x
_atom_site_fract_y
_atom_site_fract_z
Bi1 0.000 0.000 0.000
H1 0.000 0.000 0.500
I1 0.500 0.500 0.500

[8]
# BiH4I, optimized geometry, DFT PBE
# Total energy in eV for the cell shown: -34.64
data_BiH4I
_chemical_formula_sum 'Bi2 H8 I2'
_symmetry_space_group_name_H-M 'P -1'
_symmetry_Int_Tables_number 2
_symmetry_space_group_name_Hall '-P 1'
_cell_length_a 4.641
_cell_length_b 7.563
_cell_length_c 8.288
_cell_angle_alpha 69.61
_cell_angle_beta 88.16
_cell_angle_gamma 87.27
loop_
_atom_site_label
_atom_site_fract_x
_atom_site_fract_y
_atom_site_fract_z
Bi1 0.234 0.421 0.251
H1 0.162 0.566 0.729
H2 0.219 0.629 0.053
H3 0.261 0.575 0.377
H4 0.433 0.905 0.727
I1 0.196 0.070 0.737

[9]
# BiHI3, optimized geometry, DFT PBE
# Energy relative to the lowest polymorph listed for this composition in kJ/mol of formula units: 109
data_BiHI3
_chemical_formula_sum 'Bi1 H1 I3'
_symmetry_space_group_name_H-M 'P m -3 m'
_symmetry_Int_Tables_number 221
_symmetry_space_group_name_Hall '-P 4 2 3'
_cell_length_a 6.160
_cell_length_b 6.160
_cell_length_c 6.160
_cell_angle_alpha 90.00
_cell_angle_beta 90.00
_cell_angle_gamma 90.00
loop_
_atom_site_label
_atom_site_fract_x
_atom_site_fract_y
_atom_site_fract_z
Bi1 0.000 0.000 0.000
H1 0.500 0.500 0.500
I1 0.000 0.000 0.500

[10]
# BiHI2, optimized geometry, DFT PBE
# Energy relative to the lowest polymorph listed for this composition in kJ/mol of formula units: 21
data_BiHI2
_chemical_formula_sum 'Bi4 H4 I8'
_symmetry_space_group_name_H-M 'F m -3 m'
_symmetry_Int_Tables_number 225
_symmetry_space_group_name_Hall '-F 4 2 3'
_cell_length_a 7.660
_cell_length_b 7.660
_cell_length_c 7.660
_cell_angle_alpha 90.00
_cell_angle_beta 90.00
_cell_angle_gamma 90.00
loop_
_atom_site_label
_atom_site_fract_x
_atom_site_fract_y
_atom_site_fract_z
Bi1 0.000 0.000 0.000
H1 0.000 0.000 0.500
I1 0.250 0.250 0.250

[11]
# Bi2HI, optimized geometry, DFT PBE
# Energy relative to the lowest polymorph listed for this composition in kJ/mol of formula units: 136
data_Bi2HI
_chemical_formula_sum 'Bi8 H4 I4'
_symmetry_space_group_name_H-M 'F m -3 m'
_symmetry_Int_Tables_number 225
_symmetry_space_group_name_Hall '-F 4 2 3'
_cell_length_a 7.594
_cell_length_b 7.594
_cell_length_c 7.594
_cell_angle_alpha 90.00
_cell_angle_beta 90.00
_cell_angle_gamma 90.00
loop_
_atom_site_label
_atom_site_fract_x
_atom_site_fract_y
_atom_site_fract_z
Bi1 0.250 0.250 0.250
H1 0.000 0.000 0.000
I1 0.000 0.000 0.500

[12]
# BiH3I, optimized geometry, DFT PBE
# Energy relative to the lowest polymorph listed for this composition in kJ/mol of formula units: 275
data_BiH3I
_chemical_formula_sum 'Bi1 H3 I1'
_symmetry_space_group_name_H-M 'P m -3 m'
_symmetry_Int_Tables_number 221
_symmetry_space_group_name_Hall '-P 4 2 3'
_cell_length_a 4.216
_cell_length_b 4.216
_cell_length_c 4.216
_cell_angle_alpha 90.00
_cell_angle_beta 90.00
_cell_angle_gamma 90.00
loop_
_atom_site_label
_atom_site_fract_x
_atom_site_fract_y
_atom_site_fract_z
Bi1 0.000 0.000 0.000
H1 0.000 0.500 0.500
I1 0.500 0.500 0.500

[13]
# Bi2H2I3, optimized geometry, DFT PBE
# Total energy in eV for the cell shown: -19.33
data_Bi2H2I3
_chemical_formula_sum 'Bi2 H2 I3'
_symmetry_space_group_name_H-M 'P -1'
_symmetry_Int_Tables_number 2
_symmetry_space_group_name_Hall '-P 1'
_cell_length_a 4.957
_cell_length_b 7.567
_cell_length_c 8.458
_cell_angle_alpha 70.61
_cell_angle_beta 74.34
_cell_angle_gamma 80.66
loop_
_atom_site_label
_atom_site_fract_x
_atom_site_fract_y
_atom_site_fract_z
Bi1 0.117 0.358 0.302
H1 0.097 0.138 0.482
I1 0.215 0.795 0.857
I2 0.500 0.500 0.500